Here is crystalline HoTm2Ga3NiGe2 at its relaxed geometry from the Open Quantum Materials Database. Energies are from PBE-GGA.

Properties
Density: 8.88 g cm⁻³
Total DFT energy (no corrections): -4.87 eV/atom

Cell: 4.118 6.936 6.936 Å, 120.10 90.00 90.00°
Positions (direct):
Ho: 0.000 0.000 0.000
Tm: 0.000 0.200 0.600
Tm: 0.000 0.600 0.200
Ga: 0.500 0.369 0.369
Ga: 0.500 0.599 0.830
Ga: 0.500 0.830 0.599
Ni: 0.000 0.598 0.598
Ge: 0.500 0.268 0.932
Ge: 0.500 0.932 0.268



Here is crystalline TbGdTlAg2 at its relaxed geometry from the Open Quantum Materials Database. Energies are from PBE-GGA.

Properties
Density: 10.10 g cm⁻³
Total DFT energy (no corrections): -3.77 eV/atom

Cell: 3.530 4.608 14.876 Å, 90.00 90.00 90.00°
Positions (direct):
Tb: 0.000 0.000 0.000
Tb: 0.000 0.500 0.500
Gd: 0.000 0.000 0.757
Gd: 0.000 0.500 0.257
Tl: 0.500 0.000 0.378
Tl: 0.500 0.500 0.878
Ag: 0.500 0.000 0.179
Ag: 0.500 0.000 0.577
Ag: 0.500 0.500 0.077
Ag: 0.500 0.500 0.679